VASP calculation (PBE) on Ag2Pt3O8 after structural relaxation.

Values from the calculation:
DOS at the Fermi energy ... 0.666 states/eV per atom
E ... -5.231 eV per atom

```
Ag2Pt3O8
1.0
5.4729 -3.1469 0.0000
5.4729 3.1469 0.0000
-1.5410 0.0000 5.1333
Ag Pt O
2 3 8
direct
0.2082 0.2082 0.1230
0.7918 0.7918 0.8770
0.2464 0.7536 0.5000
0.5000 0.5000 0.0000
0.7536 0.2464 0.5000
0.1008 0.1008 0.4284
0.1741 0.6098 0.1263
0.3902 0.8259 0.8737
0.4049 0.4049 0.6088
0.5951 0.5951 0.3912
0.6098 0.1741 0.1263
0.8259 0.3902 0.8737
0.8992 0.8992 0.5716
```

VASP calculation (PBE) on AgPtO2 after structural relaxation.

Values from the calculation:
DOS at the Fermi energy ... 0.011 states/eV per atom
E ... -5.025 eV per atom

```
AgPtO2
1.0
6.3374 0.0000 0.0000
0.0000 3.1392 0.0000
-2.9965 0.0000 5.7072
Ag Pt O
2 2 4
direct
0.0000 0.0000 0.0000
0.0000 0.0000 0.5000
0.5000 0.0000 0.0000
0.5000 0.5000 0.5000
0.2663 0.0000 0.3684
0.4148 0.5000 0.7717
0.5852 0.5000 0.2283
0.7337 0.0000 0.6316
```

VASP calculation (PBE) on Ag2PtO3 after structural relaxation.

Values from the calculation:
DOS at the Fermi energy ... 0.704 states/eV per atom
E ... -4.486 eV per atom

```
Ag2PtO3
1.0
-1.4984 1.8773 7.2663
1.4984 -1.8773 7.2663
1.4984 1.8773 -7.2663
Ag Pt O
2 1 3
direct
0.1730 0.1730 0.0000
0.8270 0.8270 0.0000
0.5000 0.5000 0.0000
0.0000 0.5000 0.5000
0.3599 0.3599 0.0000
0.6401 0.6401 0.0000
```

VASP calculation (PBE) on AgPt4O8 after structural relaxation.

Values from the calculation:
DOS at the Fermi energy ... 0.367 states/eV per atom
E ... -5.464 eV per atom

```
AgPt4O8
1.0
5.5571 -3.1813 0.0000
5.5571 3.1813 0.0000
-4.3592 0.0000 5.7868
Ag Pt O
1 4 8
direct
0.0000 0.0000 0.0000
0.2492 0.7508 0.5000
0.2538 0.2538 0.5099
0.7462 0.7462 0.4901
0.7508 0.2492 0.5000
0.1464 0.6550 0.6723
0.1470 0.1470 0.6632
0.3450 0.8536 0.3277
0.3526 0.3526 0.3430
0.6474 0.6474 0.6570
0.6550 0.1464 0.6723
0.8530 0.8530 0.3368
0.8536 0.3450 0.3277
```

VASP calculation (PBE) on AgPtO2 after structural relaxation.

Values from the calculation:
DOS at the Fermi energy ... 0.640 states/eV per atom
E ... -4.959 eV per atom

```
AgPtO2
1.0
4.4853 -1.5524 0.0000
4.4853 1.5524 0.0000
-3.8741 0.0000 4.4592
Ag Pt O
1 1 2
direct
0.0000 0.0000 0.0000
0.0000 0.0000 0.5000
0.3166 0.3166 0.3155
0.6834 0.6834 0.6845
```

VASP calculation (PBE) on AgPtO3 after structural relaxation.

Values from the calculation:
DOS at the Fermi energy ... 0.939 states/eV per atom
E ... -4.658 eV per atom

```
AgPtO3
1.0
2.9426 0.0000 0.0000
0.0171 5.8215 0.0000
0.0014 2.9095 5.0424
Ag Pt O
1 1 3
direct
0.0000 0.0000 0.0000
0.9999 0.6665 0.6665
0.4990 0.8077 0.3818
0.4988 0.8100 0.8077
0.5018 0.3818 0.8099
```

VASP calculation (PBE) on AgPtO2 after structural relaxation.

Values from the calculation:
DOS at the Fermi energy ... 0.972 states/eV per atom
E ... -4.177 eV per atom

```
AgPtO2
1.0
0.0000 2.8706 2.8706
2.8706 0.0000 2.8706
2.8706 2.8706 0.0000
Ag Pt O
1 1 2
direct
0.0000 0.0000 0.0000
0.5000 0.5000 0.5000
0.2500 0.2500 0.2500
0.7500 0.7500 0.7500
```

VASP calculation (PBE) on AgPt2O6 after structural relaxation.

Values from the calculation:
DOS at the Fermi energy ... 0.907 states/eV per atom
E ... -5.235 eV per atom

```
AgPt2O6
1.0
5.2932 0.0000 0.0000
-2.6466 4.5840 0.0000
0.0000 0.0000 4.6320
Ag Pt O
1 2 6
direct
0.0000 0.0000 0.0000
0.3333 0.6667 0.5000
0.6667 0.3333 0.5000
0.0000 0.3697 0.7355
0.0000 0.6303 0.2645
0.3697 0.0000 0.7355
0.3697 0.3697 0.2645
0.6303 0.0000 0.2645
0.6303 0.6303 0.7355
```

- Among the records above, which one has the highest E?
  number 7

- DOS at the Fermi energy of number 4 (AgPt4O8)?
  0.367 states/eV per atom